1.
This record from Alexandria describes crystalline SiAsC2 at its relaxed geometry. The functional is PBE-GGA.

The structure in CIF format:
```
data_SiAsC2
_symmetry_space_group_name_H-M 'P 1'
_symmetry_Int_Tables_number 1
_cell_length_a 2.926
_cell_length_b 4.203
_cell_length_c 4.847
_cell_angle_alpha 94.80
_cell_angle_beta 93.42
_cell_angle_gamma 109.45
loop_
_symmetry_equiv_pos_as_xyz
'x,y,z'
loop_
_atom_site_label
_atom_site_fract_x
_atom_site_fract_y
_atom_site_fract_z
_atom_site_occupancy
Si1 0.000 0.000 0.000 1
As1 0.697 0.563 0.602 1
C1 0.646 0.292 0.038 1
C2 0.801 0.616 0.192 1
```

Uncorrected formation energy in kcal/mol of atoms: 17.9
Calculated volume in Å³ per atom: 13.94

2.
This record from Alexandria describes crystalline CuPtO at its relaxed geometry. The functional is PBE-GGA.

The structure in CIF format:
```
data_CuPtO
_symmetry_space_group_name_H-M 'P 1'
_symmetry_Int_Tables_number 1
_cell_length_a 5.701
_cell_length_b 5.318
_cell_length_c 2.872
_cell_angle_alpha 82.41
_cell_angle_beta 67.63
_cell_angle_gamma 29.96
loop_
_symmetry_equiv_pos_as_xyz
'x,y,z'
loop_
_atom_site_label
_atom_site_fract_x
_atom_site_fract_y
_atom_site_fract_z
_atom_site_occupancy
Cu1 0.000 0.000 0.000 1
Pt1 0.701 0.701 0.299 1
O1 0.371 0.371 0.629 1
```

Uncorrected formation energy in kcal/mol of atoms: 1.6
Calculated volume in Å³ per atom: 12.11

3.
This record from Alexandria describes crystalline Na2Sn3GePd4 at its relaxed geometry. The functional is PBE-GGA.

The structure in CIF format:
```
data_Na2Sn3GePd4
_symmetry_space_group_name_H-M 'P 1'
_symmetry_Int_Tables_number 1
_cell_length_a 4.377
_cell_length_b 4.377
_cell_length_c 11.418
_cell_angle_alpha 90.00
_cell_angle_beta 90.00
_cell_angle_gamma 90.00
loop_
_symmetry_equiv_pos_as_xyz
'x,y,z'
loop_
_atom_site_label
_atom_site_fract_x
_atom_site_fract_y
_atom_site_fract_z
_atom_site_occupancy
Na1 0.000 0.500 0.248 1
Na2 0.500 0.000 0.752 1
Sn1 0.000 0.000 0.000 1
Sn2 0.000 0.500 0.635 1
Sn3 0.500 0.000 0.365 1
Ge1 0.500 0.500 0.000 1
Pd1 0.000 0.000 0.500 1
Pd2 0.000 0.500 0.867 1
Pd3 0.500 0.000 0.133 1
Pd4 0.500 0.500 0.500 1
```

Energy of formation in eV per atom: -0.373
Calculated volume in Å³ per atom: 21.87

4.
This record from Alexandria describes crystalline Rb2Tl3InPb4 at its relaxed geometry. The functional is PBE-GGA.

The structure in CIF format:
```
data_Rb2Tl3InPb4
_symmetry_space_group_name_H-M 'P 1'
_symmetry_Int_Tables_number 1
_cell_length_a 4.965
_cell_length_b 4.965
_cell_length_c 14.979
_cell_angle_alpha 90.00
_cell_angle_beta 90.00
_cell_angle_gamma 90.00
loop_
_symmetry_equiv_pos_as_xyz
'x,y,z'
loop_
_atom_site_label
_atom_site_fract_x
_atom_site_fract_y
_atom_site_fract_z
_atom_site_occupancy
Rb1 0.000 0.500 0.244 1
Rb2 0.500 0.000 0.756 1
Tl1 0.000 0.000 0.000 1
Tl2 0.000 0.500 0.645 1
Tl3 0.500 0.000 0.355 1
In1 0.500 0.500 0.000 1
Pb1 0.000 0.000 0.500 1
Pb2 0.000 0.500 0.868 1
Pb3 0.500 0.000 0.132 1
Pb4 0.500 0.500 0.500 1
```

Energy of formation in eV per atom: -0.068
Calculated volume in Å³ per atom: 36.93

5.
This record from Alexandria describes crystalline CoAsOs2 at its relaxed geometry. The functional is PBE-GGA.

The structure in CIF format:
```
data_CoAsOs2
_symmetry_space_group_name_H-M 'P 1'
_symmetry_Int_Tables_number 1
_cell_length_a 6.553
_cell_length_b 6.553
_cell_length_c 6.553
_cell_angle_alpha 131.56
_cell_angle_beta 131.56
_cell_angle_gamma 70.93
loop_
_symmetry_equiv_pos_as_xyz
'x,y,z'
loop_
_atom_site_label
_atom_site_fract_x
_atom_site_fract_y
_atom_site_fract_z
_atom_site_occupancy
Co1 0.000 0.000 0.000 1
Co2 0.750 0.250 0.500 1
As1 0.250 0.750 0.500 1
As2 0.500 0.500 0.000 1
Os1 0.102 0.625 0.977 1
Os2 0.375 0.352 0.477 1
Os3 0.648 0.125 0.023 1
Os4 0.875 0.898 0.523 1
```

Energy of formation in eV per atom: 1.043
Calculated volume in Å³ per atom: 19.29

6.
This record from Alexandria describes crystalline HoScSeO2 at its relaxed geometry. The functional is PBE-GGA.

The structure in CIF format:
```
data_HoScSeO2
_symmetry_space_group_name_H-M 'P 1'
_symmetry_Int_Tables_number 1
_cell_length_a 6.386
_cell_length_b 3.945
_cell_length_c 7.335
_cell_angle_alpha 90.00
_cell_angle_beta 110.38
_cell_angle_gamma 90.00
loop_
_symmetry_equiv_pos_as_xyz
'x,y,z'
loop_
_atom_site_label
_atom_site_fract_x
_atom_site_fract_y
_atom_site_fract_z
_atom_site_occupancy
Ho1 0.187 0.250 0.433 1
Ho2 0.813 0.750 0.567 1
Sc1 0.158 0.250 0.926 1
Sc2 0.842 0.750 0.074 1
Se1 0.466 0.750 0.745 1
Se2 0.534 0.250 0.255 1
O1 0.015 0.750 0.369 1
O2 0.028 0.750 0.894 1
O3 0.972 0.250 0.106 1
O4 0.985 0.250 0.631 1
```

Uncorrected formation energy in kcal/mol of atoms: -70.0
Calculated volume in Å³ per atom: 17.32

7.
This record from Alexandria describes crystalline LaInBr2 at its relaxed geometry. The functional is PBE-GGA.

The structure in CIF format:
```
data_LaInBr2
_symmetry_space_group_name_H-M 'P 1'
_symmetry_Int_Tables_number 1
_cell_length_a 3.995
_cell_length_b 5.073
_cell_length_c 6.274
_cell_angle_alpha 90.00
_cell_angle_beta 91.14
_cell_angle_gamma 90.00
loop_
_symmetry_equiv_pos_as_xyz
'x,y,z'
loop_
_atom_site_label
_atom_site_fract_x
_atom_site_fract_y
_atom_site_fract_z
_atom_site_occupancy
La1 0.000 0.000 0.000 1
In1 0.500 0.000 0.500 1
Br1 0.209 0.500 0.758 1
Br2 0.791 0.500 0.242 1
```

Uncorrected formation energy in kcal/mol of atoms: -23.0
Calculated volume in Å³ per atom: 31.79

8.
This record from Alexandria describes crystalline ZrFe2NiB at its relaxed geometry. The functional is PBE-GGA.

The structure in CIF format:
```
data_ZrFe2NiB
_symmetry_space_group_name_H-M 'P 1'
_symmetry_Int_Tables_number 1
_cell_length_a 3.930
_cell_length_b 3.930
_cell_length_c 3.843
_cell_angle_alpha 90.00
_cell_angle_beta 90.00
_cell_angle_gamma 90.00
loop_
_symmetry_equiv_pos_as_xyz
'x,y,z'
loop_
_atom_site_label
_atom_site_fract_x
_atom_site_fract_y
_atom_site_fract_z
_atom_site_occupancy
Zr1 0.000 0.000 0.000 1
Fe1 0.000 0.500 0.500 1
Fe2 0.500 0.000 0.500 1
Ni1 0.500 0.500 0.000 1
B1 0.500 0.500 0.500 1
```

Energy of formation in eV per atom: -0.304
Calculated volume in Å³ per atom: 11.87

9.
This record from Alexandria describes crystalline Ba6AgPd2I3 at its relaxed geometry. The functional is PBE-GGA.

The structure in CIF format:
```
data_Ba6AgPd2I3
_symmetry_space_group_name_H-M 'P 1'
_symmetry_Int_Tables_number 1
_cell_length_a 8.155
_cell_length_b 8.155
_cell_length_c 9.250
_cell_angle_alpha 98.46
_cell_angle_beta 98.46
_cell_angle_gamma 119.99
loop_
_symmetry_equiv_pos_as_xyz
'x,y,z'
loop_
_atom_site_label
_atom_site_fract_x
_atom_site_fract_y
_atom_site_fract_z
_atom_site_occupancy
Ba1 0.082 0.431 0.793 1
Ba2 0.220 0.220 0.206 1
Ba3 0.431 0.082 0.793 1
Ba4 0.569 0.918 0.207 1
Ba5 0.780 0.780 0.794 1
Ba6 0.918 0.569 0.207 1
Ag1 0.500 0.500 0.000 1
Pd1 0.167 0.833 0.000 1
Pd2 0.833 0.167 0.000 1
I1 0.000 0.000 0.500 1
I2 0.336 0.664 0.500 1
I3 0.664 0.336 0.500 1
```

Uncorrected formation energy in kcal/mol of atoms: -21.4
Calculated volume in Å³ per atom: 42.43

10.
This record from Alexandria describes crystalline CoBi2Rh at its relaxed geometry. The functional is PBE-GGA.

The structure in CIF format:
```
data_CoBi2Rh
_symmetry_space_group_name_H-M 'P 1'
_symmetry_Int_Tables_number 1
_cell_length_a 4.829
_cell_length_b 4.829
_cell_length_c 4.829
_cell_angle_alpha 60.00
_cell_angle_beta 60.00
_cell_angle_gamma 60.00
loop_
_symmetry_equiv_pos_as_xyz
'x,y,z'
loop_
_atom_site_label
_atom_site_fract_x
_atom_site_fract_y
_atom_site_fract_z
_atom_site_occupancy
Co1 0.000 0.000 0.000 1
Bi1 0.250 0.250 0.250 1
Bi2 0.750 0.750 0.750 1
Rh1 0.500 0.500 0.500 1
```

Energy of formation in eV per atom: 0.276
Calculated volume in Å³ per atom: 19.91

11.
This record from Alexandria describes crystalline Ho6TlBi2Te3 at its relaxed geometry. The functional is PBE-GGA.

The structure in CIF format:
```
data_Ho6TlBi2Te3
_symmetry_space_group_name_H-M 'P 1'
_symmetry_Int_Tables_number 1
_cell_length_a 9.830
_cell_length_b 9.830
_cell_length_c 8.852
_cell_angle_alpha 102.61
_cell_angle_beta 102.61
_cell_angle_gamma 25.67
loop_
_symmetry_equiv_pos_as_xyz
'x,y,z'
loop_
_atom_site_label
_atom_site_fract_x
_atom_site_fract_y
_atom_site_fract_z
_atom_site_occupancy
Ho1 0.001 0.001 0.260 1
Ho2 0.332 0.332 0.918 1
Ho3 0.339 0.339 0.419 1
Ho4 0.661 0.661 0.581 1
Ho5 0.668 0.668 0.082 1
Ho6 0.999 0.999 0.740 1
Tl1 0.500 0.500 0.500 1
Bi1 0.166 0.166 0.834 1
Bi2 0.834 0.834 0.166 1
Te1 0.170 0.170 0.333 1
Te2 0.500 0.500 0.000 1
Te3 0.830 0.830 0.667 1
```

Uncorrected formation energy in kcal/mol of atoms: -22.5
Calculated volume in Å³ per atom: 30.10

12.
This record from Alexandria describes crystalline BeSbP at its relaxed geometry. The functional is PBE-GGA.

The structure in CIF format:
```
data_BeSbP
_symmetry_space_group_name_H-M 'P 1'
_symmetry_Int_Tables_number 1
_cell_length_a 4.468
_cell_length_b 4.468
_cell_length_c 4.468
_cell_angle_alpha 60.00
_cell_angle_beta 60.00
_cell_angle_gamma 60.00
loop_
_symmetry_equiv_pos_as_xyz
'x,y,z'
loop_
_atom_site_label
_atom_site_fract_x
_atom_site_fract_y
_atom_site_fract_z
_atom_site_occupancy
Be1 0.000 0.000 0.000 1
Sb1 0.750 0.750 0.750 1
P1 0.500 0.500 0.500 1
```

Uncorrected formation energy in kcal/mol of atoms: 19.8
Calculated volume in Å³ per atom: 21.02

no.,size of the total moment (μB per formula unit)
1,0.0
2,0.0
3,0.0
4,0.0
5,0.0
6,0.0
7,0.0
8,1.0
9,0.0
10,1.7
11,0.0
12,0.0